No. 1
This record from the Alexandria database describes an optimized crystal structure of YBe2Fe. The functional is PBE.

Results
ρ ... 4.66 g/cm3
E_form ... -0.03 eV per atom
D(E_F) ... 0.9961 states/eV per atom

abc: 6.4900 3.7338 5.2507
angles: 90.00 114.12 90.00
With the nearest neighbours (Å) after each atom.
Space group C2/m (No. 12)
Asymmetric unit:
Y  0.0000  0.0000  0.0000 [2 per cell]  8 Be 2.78-2.95
Be  0.1933  0.0000  0.5799 [4 per cell]  3 Fe 2.19-2.20, 3 Be 2.29-2.30
Fe  0.0000  0.5000  0.5000 [2 per cell]  6 Be 2.19-2.20

No. 2
This record from the Alexandria database describes an optimized crystal structure of Y2Be2Fe. The functional is PBE.

Results
ρ ... 4.77 g/cm3
E_form ... 0.27 eV per atom
D(E_F) ... 1.3001 states/eV per atom

abc: 6.5506 6.5506 4.0804
angles: 90.00 90.00 90.00
With the nearest neighbours (Å) after each atom.
Space group P4/mbm (No. 127)
Asymmetric unit:
Y  0.1882  0.3118  0.0000 [4 per cell]  6 Be 2.72-2.89
Be  0.1173  0.6173  0.5000 [4 per cell]  1 Be 2.17
Fe  0.0000  0.0000  0.5000 [2 per cell]  4 Be 2.62

No. 3
This record from the Alexandria database describes an optimized crystal structure of YBe2Fe2. The functional is PBE.

Results
ρ ... 5.36 g/cm3
E_form ... 0.04 eV per atom
D(E_F) ... 0.9802 states/eV per atom

abc: 3.9570 3.9570 8.6444
angles: 90.00 90.00 90.00
With the nearest neighbours (Å) after each atom.
Space group I4/mmm (No. 139)
Asymmetric unit:
Y  0.0000  0.0000  0.0000 [2 per cell]  8 Be 2.93, 10 Fe 3.02-3.17
Be  0.0000  0.5000  0.2500 [4 per cell]  4 Fe 2.22
Fe  0.0000  0.0000  0.3671 [4 per cell]  4 Be 2.22, 1 Fe 2.30